First-principles (PBE with a Hubbard U) data for a geometry-optimized V2TcO structure, as listed in Alexandria.

Cell: 6.0566 6.0566 6.0566 Å, 90.00 90.00 90.00°
Space group Fm-3m (No. 225)
Asymmetric unit:
V 0.2500 0.2500 0.2500 x8
Tc 0.0000 0.0000 0.0000 x4
O 0.0000 0.0000 0.5000 x4

Calculated values
Distance to the lowest polymorph of the same formula in meV per atom: 695
Uncorrected energy in eV per atom: -6.727
Crystal system: cubic
Fermi-level density of states in states/eV/f.u.: 2.06
Calculated volume in A^3/atom: 13.9
Total magnetic moment in μB per formula unit: 3.0